(1)
Computed, not measured: RbBaNdSe3 after structural relaxation at the PBE level of DFT.

Output
Uncorrected energy = -4.5842 eV/atom
V = 562.7 Å³/cell
Crystal system = orthorhombic
Magnetic moment = 0.00 μB/atom

a b c (Å): 10.2187 10.2187 12.5578
angles (deg): 90.00 90.00 154.59
Last column: nearest neighbours and their distance in Å.
Fractional positions:
Rb  0.1297  0.8703  0.7500  4 Se 3.24-3.43
Rb  0.8703  0.1297  0.2500  4 Se 3.24-3.43
Ba  0.1079  0.8921  0.2500  4 Se 3.10-3.11
Ba  0.8921  0.1079  0.7500  4 Se 3.10-3.11
Nd  0.5000  0.5000  0.0000  6 Se 3.00-3.14
Nd  0.5000  0.5000  0.5000  6 Se 3.00-3.14
Se  0.0995  0.9005  0.0037  2 Nd 3.00, 1 Ba 3.10, 1 Rb 3.24
Se  0.0995  0.9005  0.4963  2 Nd 3.00, 1 Ba 3.10, 1 Rb 3.24
Se  0.5000  0.5000  0.2500  2 Ba 3.11, 2 Nd 3.14, 2 Rb 3.43
Se  0.5000  0.5000  0.7500  2 Ba 3.11, 2 Nd 3.14, 2 Rb 3.43
Se  0.9005  0.0995  0.5037  2 Nd 3.00, 1 Ba 3.10, 1 Rb 3.24
Se  0.9005  0.0995  0.9963  2 Nd 3.00, 1 Ba 3.10, 1 Rb 3.24

=====

(2)
Computed, not measured: Tm2SiGePt after structural relaxation at the PBE level of DFT.

Output
Uncorrected energy = -6.0546 eV/atom
V = 197.1 Å³/cell
Crystal system = monoclinic
Magnetic moment = 0.00 μB/atom

a b c (Å): 5.5731 5.5731 10.1600
angles (deg): 115.40 115.40 44.82
Last column: nearest neighbours and their distance in Å.
Fractional positions:
Tm  0.0063  0.0063  0.3287  2 Ge 2.94, 4 Pt 2.96-3.13, 4 Si 2.98-3.09
Tm  0.1853  0.1853  0.1140  5 Ge 2.93-3.08, 1 Si 2.95, 2 Pt 3.08
Tm  0.8147  0.8147  0.8860  5 Ge 2.93-3.08, 1 Si 2.95, 2 Pt 3.08
Tm  0.9937  0.9937  0.6713  2 Ge 2.94, 4 Pt 2.96-3.13, 4 Si 2.98-3.09
Si  0.3629  0.3629  0.4403  3 Pt 2.47-2.71, 1 Si 2.51
Si  0.6371  0.6371  0.5597  3 Pt 2.47-2.71, 1 Si 2.51
Ge  0.4697  0.4697  0.1145  1 Pt 2.63, 1 Ge 2.67, 3 Tm 2.93-2.94
Ge  0.5303  0.5303  0.8855  1 Pt 2.63, 1 Ge 2.67, 3 Tm 2.93-2.94
Pt  0.2707  0.2707  0.6501  3 Si 2.47-2.71, 1 Ge 2.63
Pt  0.7293  0.7293  0.3499  3 Si 2.47-2.71, 1 Ge 2.63

=====

(3)
Computed, not measured: HoLuMg after structural relaxation at the PBE level of DFT.

Output
E above lowest polymorph = 0.0 meV/atom
V = 97.8 Å³/cell
Crystal system = cubic
Magnetic moment = 0.02 μB/atom

a b c (Å): 5.1715 5.1715 5.1715
angles (deg): 60.00 60.00 60.00
Last column: nearest neighbours and their distance in Å.
Fractional positions:
Ho  0.0000  0.0000  0.0000  4 Mg 3.17
Lu  0.5000  0.5000  0.5000  4 Mg 3.17
Mg  0.2500  0.2500  0.2500  4 Ho 3.17, 4 Lu 3.17

=====

(4)
Computed, not measured: NaGaSiPt after structural relaxation at the PBE level of DFT.

Output
E above lowest polymorph = 174.8 meV/atom
V = 65.8 Å³/cell
Crystal system = cubic
Magnetic moment = 0.00 μB/atom

a b c (Å): 4.5321 4.5321 4.5321
angles (deg): 60.00 60.00 60.00
Last column: nearest neighbours and their distance in Å.
Fractional positions:
Na  0.0000  0.0000  0.0000  4 Pt 2.78, 4 Ga 2.78
Ga  0.7500  0.7500  0.7500  4 Si 2.78, 4 Na 2.78
Si  0.5000  0.5000  0.5000  4 Pt 2.78, 4 Ga 2.78
Pt  0.2500  0.2500  0.2500  4 Na 2.78, 4 Si 2.78

=====

(5)
Computed, not measured: ZrTe after structural relaxation at the PBE level of DFT.

Output
Uncorrected energy = -6.1112 eV/atom
V = 195.7 Å³/cell
Crystal system = orthorhombic
Magnetic moment = 0.00 μB/atom

a b c (Å): 5.2272 7.0367 5.3214
angles (deg): 90.00 90.00 90.00
Last column: nearest neighbours and their distance in Å.
Fractional positions:
Zr  0.0000  0.0000  0.0000  4 Te 3.09, 6 Zr 3.20-3.35
Zr  0.0000  0.2652  0.4883  6 Te 3.05-3.30, 5 Zr 3.20-3.30
Zr  0.0000  0.7348  0.4883  6 Te 3.05-3.30, 5 Zr 3.20-3.30
Zr  0.5000  0.0000  0.6060  4 Te 3.02-3.11, 6 Zr 3.27-3.35
Te  0.0000  0.5000  0.0065  4 Zr 3.05-3.21, 4 Te 3.34
Te  0.5000  0.2174  0.1157  6 Zr 3.02-3.30, 4 Te 3.06-3.34
Te  0.5000  0.5000  0.5923  4 Zr 3.14, 6 Te 3.22-3.42
Te  0.5000  0.7826  0.1157  6 Zr 3.02-3.30, 4 Te 3.06-3.34

=====

(6)
Computed, not measured: Cu2HgI4 after structural relaxation at the PBE level of DFT.

Output
Uncorrected energy = -2.2076 eV/atom
V = 240.3 Å³/cell
Crystal system = monoclinic

a b c (Å): 6.1293 6.1293 6.3960
angles (deg): 90.52 90.52 89.91
Last column: nearest neighbours and their distance in Å.
Fractional positions:
Cu  0.2491  0.7509  0.0000  4 I 2.63
Cu  0.7509  0.2491  0.0000  4 I 2.63
Hg  0.2473  0.2473  0.4973  4 I 2.87-2.88
I  0.5136  0.5136  0.7700  2 Cu 2.63, 1 Hg 2.88
I  0.5191  0.9849  0.2314  2 Cu 2.63, 1 Hg 2.87
I  0.9831  0.9831  0.7659  2 Cu 2.63, 1 Hg 2.88
I  0.9849  0.5191  0.2314  2 Cu 2.63, 1 Hg 2.87

=====

(7)
Computed, not measured: LaPmCl2O2 after structural relaxation at the PBE level of DFT.

Output
Uncorrected energy = -6.9874 eV/atom
V = 113.0 Å³/cell
Crystal system = tetragonal
Magnetic moment = 0.00 μB/atom

a b c (Å): 4.0643 4.0643 6.8424
angles (deg): 90.00 90.00 90.00
Last column: nearest neighbours and their distance in Å.
Fractional positions:
La  0.0000  0.0000  0.0000  4 O 2.37
Pm  0.5000  0.5000  0.6517  4 O 2.34
Cl  0.0000  0.0000  0.4580  1 La 3.13, 4 Pm 3.16, 4 O 3.21, 4 Cl 3.36
Cl  0.5000  0.5000  0.2025  1 Pm 3.07, 4 La 3.19, 4 O 3.30, 4 Cl 3.36
O  0.0000  0.5000  0.8216  2 Pm 2.34, 2 La 2.37
O  0.5000  0.0000  0.8216  2 Pm 2.34, 2 La 2.37

=====

(8)
Computed, not measured: HfZr3N4 after structural relaxation at the PBE level of DFT.

Output
Uncorrected energy = -10.2018 eV/atom
V = 98.0 Å³/cell
Crystal system = trigonal
Magnetic moment = 0.00 μB/atom

a b c (Å): 3.2059 3.2059 11.0072
angles (deg): 90.00 90.00 120.00
Last column: nearest neighbours and their distance in Å.
Fractional positions:
Hf  0.0000  0.0000  0.0000  6 N 2.21-2.31
Zr  0.0000  0.0000  0.2650  6 N 2.26-2.40
Zr  0.3333  0.6667  0.4994  6 N 2.26-2.36
Zr  0.3333  0.6667  0.7660  6 N 2.30-2.36
N  0.0000  0.0000  0.6327  6 Zr 2.36
N  0.3333  0.6667  0.1258  3 Hf 2.31, 3 Zr 2.40
N  0.6667  0.3333  0.3823  6 Zr 2.26
N  0.6667  0.3333  0.8898  3 Hf 2.21, 3 Zr 2.30